A plane-wave DFT calculation with PBE was carried out for a relaxed structure of BaLiTmSe3.

## Properties
VASP energy	-0.1813	Ha/atom
space-group type	P2_1/m, No. 11

a b c (Å): 8.742 4.226 9.293
angles (deg): 90.00 105.94 90.00
Sites, in units of the cell vectors:
Li  0.414  0.750  0.907
Se  0.954  0.750  0.662
Se  0.387  0.750  0.630
Se  0.046  0.250  0.338
Ba  0.702  0.250  0.749
Li  0.586  0.250  0.093
Tm  0.175  0.250  0.655
Ba  0.298  0.750  0.251
Se  0.284  0.250  0.970
Tm  0.825  0.750  0.345
Se  0.716  0.750  0.030
Se  0.613  0.250  0.370


A plane-wave DFT calculation with PBE was carried out for a relaxed structure of BaLiSm.

## Properties
VASP energy	-0.0786	Ha/atom
space-group type	F-43m, No. 216

a b c (Å): 5.552 5.552 5.552
angles (deg): 60.00 60.00 60.00
Sites, in units of the cell vectors:
Sm  0.000  0.000  0.000
Ba  0.250  0.250  0.250
Li  0.750  0.750  0.750


A plane-wave DFT calculation with PBE was carried out for a relaxed structure of BaLiSmTe3.

## Properties
VASP energy	-0.1638	Ha/atom
space-group type	C2/m, No. 12

a b c (Å): 10.018 10.018 9.559
angles (deg): 103.59 103.59 26.42
Sites, in units of the cell vectors:
Te  0.333  0.333  0.641
Te  0.326  0.326  0.189
Te  0.000  0.000  0.500
Li  0.506  0.506  0.698
Te  0.674  0.674  0.811
Te  0.667  0.667  0.359
Sm  0.834  0.834  0.415
Li  0.494  0.494  0.302
Sm  0.166  0.166  0.585
Ba  0.865  0.865  0.934
Te  0.500  0.500  0.000
Ba  0.135  0.135  0.066


A plane-wave DFT calculation with PBE was carried out for a relaxed structure of BaLiSmTe3.

## Properties
VASP energy	-0.1646	Ha/atom
space-group type	Pnma, No. 62

a b c (Å): 11.673 4.580 15.050
angles (deg): 90.00 90.00 90.00
Sites, in units of the cell vectors:
Te  0.948  0.750  0.886
Te  0.052  0.250  0.114
Li  0.258  0.750  0.723
Te  0.758  0.250  0.675
Sm  0.509  0.250  0.752
Ba  0.240  0.750  0.001
Li  0.242  0.250  0.223
Sm  0.009  0.250  0.748
Sm  0.491  0.750  0.248
Ba  0.760  0.250  0.999
Sm  0.991  0.750  0.252
Te  0.430  0.250  0.111
Ba  0.260  0.250  0.501
Te  0.242  0.750  0.325
Te  0.742  0.750  0.175
Te  0.570  0.750  0.889
Te  0.258  0.250  0.825
Te  0.448  0.750  0.614
Li  0.758  0.750  0.777
Te  0.070  0.750  0.611
Li  0.742  0.250  0.277
Te  0.930  0.250  0.389
Ba  0.740  0.750  0.499
Te  0.552  0.250  0.386


A plane-wave DFT calculation with PBE was carried out for a relaxed structure of BaLiTa.

## Properties
VASP energy	-0.1246	Ha/atom
space-group type	F-43m, No. 216

a b c (Å): 4.948 4.948 4.948
angles (deg): 60.00 60.00 60.00
Sites, in units of the cell vectors:
Li  0.750  0.750  0.750
Ba  0.000  0.000  0.000
Ta  0.250  0.250  0.250


A plane-wave DFT calculation with PBE was carried out for a relaxed structure of BaLiTmTe3.

## Properties
VASP energy	-0.1616	Ha/atom
space-group type	P2_1/m, No. 11

a b c (Å): 9.298 4.509 9.991
angles (deg): 90.00 105.85 90.00
Sites, in units of the cell vectors:
Li  0.416  0.750  0.408
Li  0.584  0.250  0.592
Tm  0.176  0.250  0.156
Te  0.951  0.750  0.162
Te  0.609  0.250  0.873
Te  0.391  0.750  0.127
Ba  0.299  0.750  0.751
Tm  0.824  0.750  0.844
Te  0.724  0.750  0.528
Ba  0.701  0.250  0.249
Te  0.049  0.250  0.838
Te  0.276  0.250  0.472


A plane-wave DFT calculation with PBE was carried out for a relaxed structure of BaLiTmTe3.

## Properties
VASP energy	-0.1621	Ha/atom
space-group type	Cmcm, No. 63

a b c (Å): 7.800 7.800 11.377
angles (deg): 90.00 90.00 146.37
Sites, in units of the cell vectors:
Te  0.864  0.136  0.054
Ba  0.750  0.250  0.750
Te  0.428  0.572  0.750
Li  0.970  0.030  0.250
Ba  0.250  0.750  0.250
Li  0.030  0.970  0.750
Te  0.572  0.428  0.250
Te  0.864  0.136  0.446
Tm  0.500  0.500  0.500
Tm  0.500  0.500  0.000
Te  0.136  0.864  0.946
Te  0.136  0.864  0.554


A plane-wave DFT calculation with PBE was carried out for a relaxed structure of BaLiTmTe3.

## Properties
VASP energy	-0.1621	Ha/atom
space-group type	Pnma, No. 62

a b c (Å): 11.380 4.516 14.970
angles (deg): 90.00 90.00 90.00
Sites, in units of the cell vectors:
Te  0.052  0.750  0.115
Ba  0.249  0.250  0.000
Tm  0.997  0.250  0.250
Te  0.552  0.750  0.385
Li  0.748  0.750  0.279
Li  0.248  0.750  0.221
Te  0.247  0.250  0.322
Te  0.948  0.250  0.885
Te  0.056  0.250  0.615
Te  0.747  0.250  0.178
Te  0.556  0.250  0.885
Ba  0.751  0.750  0.000
Tm  0.497  0.250  0.250
Ba  0.749  0.250  0.500
Tm  0.003  0.750  0.750
Li  0.752  0.250  0.779
Li  0.252  0.250  0.721
Te  0.944  0.750  0.385
Te  0.448  0.250  0.615
Te  0.444  0.750  0.115
Te  0.753  0.750  0.678
Te  0.253  0.750  0.822
Tm  0.503  0.750  0.750
Ba  0.251  0.750  0.500


A plane-wave DFT calculation with PBE was carried out for a relaxed structure of BaLiTmTe3.

## Properties
VASP energy	-0.1612	Ha/atom
space-group type	C2/m, No. 12

a b c (Å): 9.859 9.859 9.479
angles (deg): 103.18 103.18 26.42
Sites, in units of the cell vectors:
Te  0.327  0.327  0.198
Te  0.500  0.500  0.000
Te  0.330  0.330  0.635
Te  0.673  0.673  0.802
Te  0.670  0.670  0.365
Li  0.492  0.492  0.301
Tm  0.835  0.835  0.418
Te  0.000  0.000  0.500
Ba  0.863  0.863  0.933
Ba  0.137  0.137  0.067
Tm  0.165  0.165  0.582
Li  0.508  0.508  0.699


A plane-wave DFT calculation with PBE was carried out for a relaxed structure of BaLiTh.

## Properties
VASP energy	-0.0996	Ha/atom
space-group type	F-43m, No. 216

a b c (Å): 5.480 5.480 5.480
angles (deg): 60.00 60.00 60.00
Sites, in units of the cell vectors:
Li  0.750  0.750  0.750
Ba  0.250  0.250  0.250
Th  0.000  0.000  0.000


A plane-wave DFT calculation with PBE was carried out for a relaxed structure of BaLi3Tm.

## Properties
VASP energy	-0.0642	Ha/atom
space-group type	I4/mcm, No. 140

a b c (Å): 7.866 7.866 7.866
angles (deg): 126.94 126.94 78.34
Last column: magnetic moment on the atom in μB.
Sites, in units of the cell vectors:
Ba  0.500  0.500  0.000  0.09
Tm  0.750  0.250  0.500  0.18
Li  0.379  0.121  0.500  0.03
Li  0.621  0.879  0.500  0.03
Ba  0.000  0.000  0.000  0.09
Li  0.250  0.250  0.000  0.02
Li  0.121  0.621  0.743  0.03
Li  0.879  0.379  0.257  0.03
Li  0.750  0.750  0.000  0.02
Tm  0.250  0.750  0.500  0.18


A plane-wave DFT calculation with PBE was carried out for a relaxed structure of BaLiU.

## Properties
VASP energy	-0.1375	Ha/atom
space-group type	F-43m, No. 216

a b c (Å): 5.299 5.299 5.299
angles (deg): 60.00 60.00 60.00
Last column: magnetic moment on the atom in μB.
Sites, in units of the cell vectors:
U  0.750  0.750  0.750  3.27
Li  0.000  0.000  0.000  0.05
Ba  0.250  0.250  0.250  0.21